PBE RbNdAsO, relaxed; ΔE to the lowest computed polymorph = 2.162 eV/f.u.; space group = P4/nmm, No. 129; E_tot = -4.76 eV/atom
1.0
6.099 0.000 0.000
0.000 6.099 0.000
0.000 0.000 5.338
Rb Nd As O
2 2 2 2
direct
0.250 0.250 0.002 Rb
0.750 0.750 0.998 Rb
0.250 0.750 0.500 Nd
0.750 0.250 0.500 Nd
0.250 0.250 0.503 As
0.750 0.750 0.497 As
0.250 0.750 0.000 O
0.750 0.250 0.000 O